1.
UBiSb2O8 | GGA-PBE | optimized geometry

a = 7.294 Å, b = 7.160 Å, c = 7.111 Å
α = 90.00°, β = 92.09°, γ = 90.00°
Space group C2/m (No. 12)
Asymmetric unit:
1 U 0.000 0.000 0.000 (multiplicity 2)
2 Bi 0.000 0.000 0.500 (multiplicity 2)
3 Sb 0.008 0.500 0.741 (multiplicity 4)
4 O 0.016 0.194 0.774 (multiplicity 8)
5 O 0.177 0.500 0.521 (multiplicity 4)
6 O 0.217 0.500 0.963 (multiplicity 4)

Summary:
uncorrected formation energy: -1823 meV/atom



2.
SnAsOs3 | GGA-PBE | optimized geometry

a = 4.836 Å, b = 4.836 Å, c = 4.836 Å
α = 90.00°, β = 90.00°, γ = 90.00°
Space group Pm-3m (No. 221)
Asymmetric unit:
1 Sn 0.000 0.000 0.000 (multiplicity 1)
2 As 0.500 0.500 0.500 (multiplicity 1)
3 Os 0.000 0.000 0.500 (multiplicity 3)

Summary:
ΔH_f (0 K): 2.71 eV per atom
excess energy over the best structure of this formula in the dataset: 1238 meV/atom



3.
Ho2GaB2Rh5 | GGA-PBE | optimized geometry

a = 9.487 Å, b = 9.487 Å, c = 3.183 Å
α = 90.00°, β = 90.00°, γ = 90.00°
Space group P4/mbm (No. 127)
Asymmetric unit:
1 Ho 0.175 0.325 0.000 (multiplicity 4)
2 Ga 0.000 0.000 0.000 (multiplicity 2)
3 B 0.123 0.623 0.000 (multiplicity 4)
4 Rh 0.000 0.500 0.500 (multiplicity 2)
5 Rh 0.070 0.781 0.500 (multiplicity 8)

Summary:
ΔH_f (0 K): -0.85 eV per atom



4.
NbZn2Ga2 | GGA-PBE | optimized geometry

a = 7.308 Å, b = 7.308 Å, c = 3.028 Å
α = 90.00°, β = 90.00°, γ = 90.00°
Space group P4/mbm (No. 127)
Asymmetric unit:
1 Nb 0.000 0.000 0.000 (multiplicity 2)
2 Zn 0.160 0.340 0.500 (multiplicity 4)
3 Ga 0.140 0.640 0.000 (multiplicity 4)

Summary:
ΔH_f (0 K): 0.04 eV per atom
excess energy over the best structure of this formula in the dataset: 0 meV/atom



5.
SnIBr | GGA-PBE | optimized geometry

a = 8.922 Å, b = 4.382 Å, c = 12.073 Å
α = 90.00°, β = 90.00°, γ = 90.00°
Space group Pnma (No. 62)
Asymmetric unit:
1 Sn 0.105 0.250 0.147 (multiplicity 4)
2 I 0.032 0.250 0.702 (multiplicity 4)
3 Br 0.169 0.750 0.964 (multiplicity 4)

Summary:
uncorrected formation energy: -620 meV/atom



6.
Hf2Zr2Tc | GGA-PBE | optimized geometry

a = 6.664 Å, b = 6.664 Å, c = 4.966 Å
α = 90.00°, β = 90.00°, γ = 90.00°
Space group P4/mbm (No. 127)
Asymmetric unit:
1 Hf 0.161 0.339 0.000 (multiplicity 4)
2 Zr 0.152 0.652 0.500 (multiplicity 4)
3 Tc 0.000 0.000 0.500 (multiplicity 2)

Summary:
ΔH_f (0 K): 0.15 eV per atom
excess energy over the best structure of this formula in the dataset: 343 meV/atom



7.
TbUBr6 | GGA-PBE | optimized geometry

a = 7.1964 Å, b = 7.1964 Å, c = 19.7264 Å
α = 90.00°, β = 90.00°, γ = 120.00°
Space group R-3 (No. 148, hexagonal axes)
Asymmetric unit:
1 Tb 0.0000 0.0000 0.0000 (multiplicity 3)
2 U 0.0000 0.0000 0.5000 (multiplicity 3)
3 Br 0.0062 0.6582 0.7485 (multiplicity 18)

Summary:
uncorrected formation energy: -1526 meV/atom



8.
Rb2Zn2Si | GGA-PBE | optimized geometry

a = 7.016 Å, b = 7.016 Å, c = 5.801 Å
α = 90.00°, β = 90.00°, γ = 90.00°
Space group P4/mbm (No. 127)
Asymmetric unit:
1 Rb 0.182 0.318 0.000 (multiplicity 4)
2 Zn 0.140 0.640 0.500 (multiplicity 4)
3 Si 0.000 0.000 0.500 (multiplicity 2)

Summary:
uncorrected formation energy: 241 meV/atom
excess energy over the best structure of this formula in the dataset: 19 meV/atom



9.
Zn3Mo5 | GGA-PBE | optimized geometry

a = 11.098 Å, b = 9.979 Å, c = 4.857 Å
α = 90.00°, β = 115.90°, γ = 90.00°
Space group C2/c (No. 15)
Asymmetric unit:
1 Zn 0.000 0.001 0.250 (multiplicity 4)
2 Zn 0.173 0.327 0.671 (multiplicity 8)
3 Mo 0.000 0.500 0.250 (multiplicity 4)
4 Mo 0.070 0.231 0.067 (multiplicity 8)
5 Mo 0.231 0.070 0.733 (multiplicity 8)

Summary:
ΔH_f (0 K): 0.16 eV per atom
excess energy over the best structure of this formula in the dataset: 15 meV/atom



10.
Ca3SbP | GGA-PBE | optimized geometry

a = 4.699 Å, b = 9.186 Å, c = 8.158 Å
α = 90.00°, β = 90.00°, γ = 90.00°
Space group Amm2 (No. 38)
Asymmetric unit:
1 Ca 0.000 0.000 0.000 (multiplicity 2)
2 Ca 0.500 0.174 0.408 (multiplicity 4)
3 Sb 0.500 0.000 0.766 (multiplicity 2)
4 P 0.000 0.000 0.336 (multiplicity 2)

Summary:
uncorrected formation energy: -712 meV/atom
excess energy over the best structure of this formula in the dataset: 382 meV/atom



11.
Dy4TlPb2 | GGA-PBE | optimized geometry

a = 5.993 Å, b = 6.624 Å, c = 10.780 Å
α = 90.00°, β = 105.94°, γ = 90.00°
Space group P2_1/m (No. 11)
Asymmetric unit:
1 Dy 0.023 0.250 0.357 (multiplicity 2)
2 Dy 0.147 0.250 0.951 (multiplicity 2)
3 Dy 0.449 0.507 0.232 (multiplicity 4)
4 Tl 0.067 0.250 0.664 (multiplicity 2)
5 Pb 0.283 0.750 0.947 (multiplicity 2)
6 Pb 0.421 0.750 0.503 (multiplicity 2)

Summary:
ΔH_f (0 K): -0.29 eV per atom



12.
CdBi2Pd2 | GGA-PBE | optimized geometry

a = 5.460 Å, b = 4.484 Å, c = 9.754 Å
α = 90.00°, β = 95.49°, γ = 90.00°
Space group P2_1/m (No. 11)
Asymmetric unit:
1 Cd 0.096 0.250 0.287 (multiplicity 2)
2 Bi 0.251 0.250 0.972 (multiplicity 2)
3 Bi 0.368 0.250 0.621 (multiplicity 2)
4 Pd 0.161 0.750 0.472 (multiplicity 2)
5 Pd 0.261 0.750 0.152 (multiplicity 2)

Summary:
ΔH_f (0 K): -0.26 eV per atom
excess energy over the best structure of this formula in the dataset: 0 meV/atom